Record 1
First-principles (PBE) data for a relaxed structure of LiW2Cl, as listed in Alexandria. Values from VASP.

```
&SYSTEM
  ibrav = 0, nat = 8, ntyp = 3
/
ATOMIC_SPECIES
Li 6.94 Li.upf
W 183.84 W.upf
Cl 35.45 Cl.upf
ATOMIC_POSITIONS angstrom
Li 0.0000 0.0000 0.0000
Li 1.5268 2.5656 4.3731
W 0.0000 0.0000 4.5984
W 0.0000 2.5656 7.0371
W 1.5268 0.0000 2.6641
W 1.5268 2.5656 0.2253
Cl 0.0000 2.5656 2.3893
Cl 1.5268 0.0000 6.7624
CELL_PARAMETERS angstrom
3.0536 0.0000 0.0000
0.0000 5.1312 0.0000
0.0000 0.0000 8.7461
```

Results
raw total energy = -52.8 eV per cell
polymorph energy (0 for the lowest one) = 0.7657 eV/atom
raw formation energy = 813 meV/atom
V = 17.13 Å³/atom
symmetry = Imm2, No. 44



Record 2
First-principles (PBE) data for a relaxed structure of Mn2V2GaRh5, as listed in Alexandria. Values from VASP.

```
&SYSTEM
  ibrav = 0, nat = 20, ntyp = 4
/
ATOMIC_SPECIES
Mn 54.94 Mn.upf
V 50.94 V.upf
Ga 69.72 Ga.upf
Rh 102.91 Rh.upf
ATOMIC_POSITIONS angstrom
Mn 1.4874 2.9710 0.0000
Mn 2.9710 7.4295 0.0000
Mn 5.9459 1.4874 0.0000
Mn 7.4295 5.9459 0.0000
V 1.1781 5.6366 0.0000
V 3.2804 1.1781 0.0000
V 5.6366 7.7388 0.0000
V 7.7388 3.2804 0.0000
Ga 0.0000 0.0000 0.0000
Ga 4.4585 4.4585 0.0000
Rh 0.0000 4.4585 1.8649
Rh 0.6739 7.1378 1.8649
Rh 1.7792 0.6739 1.8649
Rh 2.6793 5.1324 1.8649
Rh 3.7845 2.6793 1.8649
Rh 4.4585 0.0000 1.8649
Rh 5.1324 6.2376 1.8649
Rh 6.2376 3.7845 1.8649
Rh 7.1378 8.2430 1.8649
Rh 8.2430 1.7792 1.8649
CELL_PARAMETERS angstrom
8.9169 0.0000 0.0000
0.0000 8.9169 0.0000
0.0000 0.0000 3.7297
```

Results
raw total energy = -155.5 eV per cell
calculated formation energy = -141 meV per atom
V = 14.83 Å³/atom
symmetry = P4/mbm, No. 127